A plane-wave DFT calculation with PBE was carried out for crystalline SmTl2SnS4 at its relaxed geometry.

The calculated volume is 26.8 A^3/atom. As for the total energy: -4.644 eV per atom. The formation energy from raw total energies comes out at -898 meV per atom.

It has space group P2/m (No. 10), with a = 7.1186 Å, b = 4.0301 Å, c = 7.8276 Å, α = 90.00°, β = 107.33° and γ = 90.00°. The distinct sites, in fractional coordinates, are Sm at (0.0000, 0.0000, 0.0000), Tl at (0.0000, 0.5000, 0.5000), Tl at (0.5000, 0.0000, 0.5000), Sn at (0.5000, 0.5000, 0.0000), S at (0.2402, 0.5000, 0.2005) and S at (0.2699, 0.0000, 0.7983).